Entry 1:
Material: ZnPtRh6
Method: DFT, PBE
State: optimized geometry

abc: 8.592 3.862 7.732
angles: 90.00 116.85 90.00
Space group C2/m (No. 12)
Unique sites:
Zn1 0.000 0.000 0.000 x2
Pt1 0.000 0.000 0.500 x2
Rh1 0.000 0.500 0.250 x4
Rh2 0.246 0.000 0.369 x4
Rh3 0.248 0.500 0.121 x4

Properties
Raw total energy: -0.479 Ry/atom



Entry 2:
Material: Zn2Pt2Rh
Method: DFT, PBE
State: optimized geometry

abc: 4.644 7.338 4.950
angles: 90.00 90.00 90.00
Space group Cmmm (No. 65)
Unique sites:
Zn1 0.000 0.000 0.244 x4
Pt1 0.000 0.324 0.500 x4
Rh1 0.000 0.500 0.000 x2

Properties
Energy relative to the lowest polymorph listed for this composition: 283 meV per atom



Entry 3:
Material: Zn2PtRh
Method: DFT, PBE
State: optimized geometry

abc: 2.8521 2.8521 24.8495
angles: 90.00 90.00 120.00
Space group R-3m (No. 166, hexagonal axes)
Unique sites:
Zn1 0.0000 0.0000 0.2479 x6
Pt1 0.0000 0.0000 0.0000 x3
Rh1 0.0000 0.0000 0.5000 x3

Properties
Raw total energy: -0.319 Ry/atom



Entry 4:
Material: Zn4Pt5Rh
Method: DFT, PBE
State: optimized geometry

abc: 2.849 2.849 18.115
angles: 90.00 90.00 90.00
Space group P4/mmm (No. 123)
Unique sites:
Zn1 0.000 0.000 0.098 x2
Zn2 0.000 0.000 0.296 x2
Pt1 0.500 0.500 0.000 x1
Pt2 0.500 0.500 0.197 x2
Pt3 0.500 0.500 0.394 x2
Rh1 0.000 0.000 0.500 x1

Properties
Raw total energy: -0.346 Ry/atom



Entry 5:
Material: Zn6PtRh2
Method: DFT, PBE
State: optimized geometry

abc: 13.168 6.012 4.126
angles: 90.00 108.18 90.00
Space group C2/m (No. 12)
Unique sites:
Zn1 0.000 0.241 0.000 x4
Zn2 0.167 0.249 0.666 x8
Pt1 0.000 0.500 0.500 x2
Rh1 0.168 0.000 0.167 x4

Properties
Raw total energy: -0.246 Ry/atom



Entry 6:
Material: ZnPt6Rh
Method: DFT, PBE
State: optimized geometry

abc: 5.588 5.588 3.918
angles: 90.00 90.00 90.00
Space group P4/mmm (No. 123)
Unique sites:
Zn1 0.000 0.000 0.000 x1
Pt1 0.000 0.500 0.000 x2
Pt2 0.250 0.250 0.500 x4
Rh1 0.500 0.500 0.000 x1

Properties
Energy relative to the lowest polymorph listed for this composition: 8 meV per atom



Entry 7:
Material: Zn5PtRh
Method: DFT, PBE
State: optimized geometry

abc: 11.030 7.674 8.528
angles: 90.00 120.60 90.00
Space group C2/c (No. 15)
Unique sites:
Zn1 0.000 0.146 0.250 x4
Zn2 0.034 0.320 0.996 x8
Zn3 0.245 0.041 0.089 x8
Pt1 0.000 0.473 0.250 x4
Rh1 0.000 0.000 0.000 x4

Properties
Energy relative to the lowest polymorph listed for this composition: 306 meV per atom



Entry 8:
Material: Zn2PtRh
Method: DFT, PBE
State: optimized geometry

abc: 3.055 3.055 6.062
angles: 90.00 90.00 90.00
Space group P4/mmm (No. 123)
Unique sites:
Zn1 0.000 0.000 0.241 x2
Pt1 0.500 0.500 0.500 x1
Rh1 0.500 0.500 0.000 x1

Properties
Raw total energy: -0.330 Ry/atom



Entry 9:
Material: ZnPtRh
Method: DFT, PBE
State: optimized geometry

abc: 2.7821 2.7821 6.5336
angles: 90.00 90.00 120.00
Space group P3m1 (No. 156)
Unique sites:
Zn1 0.0000 0.0000 0.0000 x1
Pt1 0.6667 0.3333 0.3289 x1
Rh1 0.3333 0.6667 0.6832 x1

Properties
Energy relative to the lowest polymorph listed for this composition: 85 meV per atom



Entry 10:
Material: Zn2PtRh
Method: DFT, PBE
State: optimized geometry

abc: 9.608 2.847 4.496
angles: 90.00 109.59 90.00
Space group Cm (No. 8)
Unique sites:
Zn1 0.000 0.000 0.000 x2
Zn2 0.237 0.000 0.594 x2
Pt1 0.491 0.000 0.498 x2
Rh1 0.244 0.500 0.091 x2

Properties
Raw total energy: -0.322 Ry/atom



Entry 11:
Material: Zn2Pt7Rh
Method: DFT, PBE
State: optimized geometry

abc: 8.321 15.454 2.704
angles: 90.00 90.00 90.00
Space group Cmmm (No. 65)
Unique sites:
Zn1 0.000 0.173 0.000 x4
Pt1 0.000 0.000 0.000 x2
Pt2 0.000 0.314 0.500 x4
Pt3 0.229 0.407 0.000 x8
Rh1 0.000 0.500 0.500 x2

Properties
Raw total energy: -0.379 Ry/atom



Entry 12:
Material: Zn6PtRh5
Method: DFT, PBE
State: optimized geometry

abc: 4.278 12.841 6.075
angles: 90.00 90.00 90.00
Space group Cmmm (No. 65)
Unique sites:
Zn1 0.000 0.000 0.246 x4
Zn2 0.000 0.332 0.249 x8
Pt1 0.000 0.500 0.500 x2
Rh1 0.000 0.166 0.500 x4
Rh2 0.000 0.167 0.000 x4
Rh3 0.000 0.500 0.000 x2

Properties
Raw total energy: -0.340 Ry/atom



Entry 13:
Material: Zn5PtRh
Method: DFT, PBE
State: optimized geometry

abc: 4.379 4.379 5.722
angles: 90.00 90.00 90.00
Space group P4/mmm (No. 123)
Unique sites:
Zn1 0.000 0.000 0.000 x1
Zn2 0.000 0.500 0.269 x4
Pt1 0.500 0.500 0.000 x1
Rh1 0.000 0.000 0.500 x1

Properties
Energy relative to the lowest polymorph listed for this composition: 0 meV per atom



Entry 14:
Material: Zn6PtRh
Method: DFT, PBE
State: optimized geometry

abc: 5.762 7.543 10.700
angles: 90.00 90.00 90.00
Space group Fmmm (No. 69)
Unique sites:
Zn1 0.000 0.000 0.248 x8
Zn2 0.250 0.250 0.122 x16
Pt1 0.000 0.000 0.500 x4
Rh1 0.000 0.000 0.000 x4

Properties
Raw total energy: -0.214 Ry/atom



Entry 15:
Material: Zn2PtRh
Method: DFT, PBE
State: optimized geometry

abc: 6.802 6.802 5.476
angles: 90.00 90.00 90.00
Space group I-42d (No. 122)
Unique sites:
Zn1 0.248 0.250 0.125 x8
Pt1 0.000 0.000 0.500 x4
Rh1 0.000 0.000 0.000 x4

Properties
Raw total energy: -0.295 Ry/atom



Entry 16:
Material: Zn2Pt7Rh2
Method: DFT, PBE
State: optimized geometry

abc: 9.354 7.755 4.985
angles: 90.00 101.09 90.00
Space group C2/m (No. 12)
Unique sites:
Zn1 0.236 0.000 0.254 x4
Pt1 0.000 0.000 0.500 x2
Pt2 0.021 0.500 0.261 x4
Pt3 0.231 0.181 0.746 x8
Rh1 0.000 0.181 0.000 x4

Properties
Raw total energy: -0.396 Ry/atom



Entry 17:
Material: ZnPtRh
Method: DFT, PBE
State: optimized geometry

abc: 2.770 4.603 7.461
angles: 97.18 90.21 107.37
Space group P-1 (No. 2)
Unique sites:
Zn1 0.115 0.229 0.233 x2
Pt1 0.373 0.749 0.097 x2
Rh1 0.148 0.295 0.583 x2

Properties
Energy relative to the lowest polymorph listed for this composition: 138 meV per atom



Entry 18:
Material: Zn2PtRh
Method: DFT, PBE
State: optimized geometry

abc: 8.479 2.841 4.915
angles: 90.00 100.97 90.00
Space group C2/m (No. 12)
Unique sites:
Zn1 0.249 0.000 0.244 x4
Pt1 0.000 0.000 0.500 x2
Rh1 0.000 0.500 0.000 x2

Properties
Raw total energy: -0.320 Ry/atom



Entry 19:
Material: ZnPtRh14
Method: DFT, PBE
State: optimized geometry

abc: 8.909 5.439 9.412
angles: 90.00 90.00 90.00
Space group Amm2 (No. 38)
Unique sites:
Zn1 0.000 0.000 0.000 x2
Pt1 0.000 0.000 0.499 x2
Rh1 0.000 0.248 0.250 x4
Rh2 0.249 0.000 0.833 x4
Rh3 0.251 0.000 0.333 x4
Rh4 0.251 0.249 0.084 x8
Rh5 0.500 0.000 0.166 x2
Rh6 0.500 0.000 0.667 x2
Rh7 0.500 0.249 0.917 x4

Properties
Raw total energy: -0.509 Ry/atom



Entry 20:
Material: Zn4PtRh3
Method: DFT, PBE
State: optimized geometry

abc: 3.033 3.033 12.145
angles: 90.00 90.00 90.00
Space group P4/mmm (No. 123)
Unique sites:
Zn1 0.000 0.000 0.123 x2
Zn2 0.000 0.000 0.369 x2
Pt1 0.500 0.500 0.500 x1
Rh1 0.500 0.500 0.000 x1
Rh2 0.500 0.500 0.247 x2

Properties
Raw total energy: -0.337 Ry/atom